Entry 1:
Compound: TbLuMnAu
Source: Alexandria via LeMat-Bulk
Functional: PBE-GGA
Structure: optimized geometry

Cell lengths 5.0194, 5.0194, 5.0194 Å; angles 60.00, 60.00, 60.00 degrees
Fractional positions:
Tb (0.0000, 0.0000, 0.0000)
Lu (0.5000, 0.5000, 0.5000)
Mn (0.7500, 0.7500, 0.7500)
Au (0.2500, 0.2500, 0.2500)

Properties
formation enthalpy at 0 K: -0.27 eV/atom
space group: F-43m
magnetic moment: 3.47 μB per formula unit

Entry 2:
Compound: Lu2AuN
Source: Alexandria via LeMat-Bulk
Functional: PBE-GGA
Structure: optimized geometry

Cell lengths 7.4125, 7.4125, 7.4125 Å; angles 26.81, 26.81, 26.81 degrees
Fractional positions:
Lu (0.2290, 0.2290, 0.2290)
Lu (0.7710, 0.7710, 0.7710)
Au (0.0000, 0.0000, 0.0000)
N (0.5000, 0.5000, 0.5000)

Properties
uncorrected formation energy: -1.169 eV per atom
space group: R-3m
magnetic moment: 0.00 μB per formula unit

Entry 3:
Compound: Lu3AuN
Source: Alexandria via LeMat-Bulk
Functional: PBE-GGA
Structure: optimized geometry

Cell lengths 4.6262, 4.6262, 4.6262 Å; angles 90.00, 90.00, 90.00 degrees
Fractional positions:
Lu (0.0000, 0.0000, 0.5000)
Lu (0.0000, 0.5000, 0.0000)
Lu (0.5000, 0.0000, 0.0000)
Au (0.5000, 0.5000, 0.5000)
N (0.0000, 0.0000, 0.0000)

Properties
uncorrected formation energy: -1.056 eV per atom
space group: Pm-3m
magnetic moment: 0.58 μB per formula unit

Entry 4:
Compound: NaLuPbAu
Source: Alexandria via LeMat-Bulk
Functional: PBE-GGA
Structure: optimized geometry

Cell lengths 5.1195, 5.1195, 5.1195 Å; angles 60.00, 60.00, 60.00 degrees
Fractional positions:
Na (0.0000, 0.0000, 0.0000)
Lu (0.5000, 0.5000, 0.5000)
Pb (0.7500, 0.7500, 0.7500)
Au (0.2500, 0.2500, 0.2500)

Properties
formation enthalpy at 0 K: -0.38 eV/atom
space group: F-43m
magnetic moment: 0.01 μB per formula unit

Look up the magnetic moment of the fourth one.
0.01 μB per formula unit

What is the magnetic moment in the second record?
0.00 μB per formula unit

The highest magnetic moment belongs to which entry?
TbLuMnAu

Repeat the second record exactly.
Compound: Lu2AuN
Source: Alexandria via LeMat-Bulk
Functional: PBE-GGA
Structure: optimized geometry

Cell lengths 7.4125, 7.4125, 7.4125 Å; angles 26.81, 26.81, 26.81 degrees
Fractional positions:
Lu (0.2290, 0.2290, 0.2290)
Lu (0.7710, 0.7710, 0.7710)
Au (0.0000, 0.0000, 0.0000)
N (0.5000, 0.5000, 0.5000)

Properties
uncorrected formation energy: -1.169 eV per atom
space group: R-3m
magnetic moment: 0.00 μB per formula unit